La7Pr2Dy2 (PBE-GGA, optimized geometry); total DFT energy (no corrections) = -52.3 eV/cell; theoretical density = 6.6 g cm⁻³; energy of formation from the pure elements = 8.8 kJ per mole of atoms
1.0
8.8532 -6.0215 0.0000
8.8532 6.0215 0.0000
-0.4989 0.0000 3.7209
La Pr Dy
7 2 2
direct
0.0000 0.0000 0.0000
0.0857 0.5863 0.8240
0.3995 0.3995 0.2490
0.4137 0.9143 0.1760
0.5863 0.0857 0.8240
0.6005 0.6005 0.7510
0.9143 0.4137 0.1760
0.2051 0.2051 0.6633
0.7949 0.7949 0.3367
0.2516 0.7484 0.5000
0.7484 0.2516 0.5000